Material: AgHg2
Method: DFT, meta-GGA SCAN
State: PBEsol geometry

Values from the calculation:
Volume, Å³/cell: 59.60
Distance to the lowest polymorph of the same formula, meV/atom: 45
Energy of formation, eV/atom: 0.0927
Spin magnetization, μB per formula unit: 0.000
Theoretical density, g cm⁻³: 14.2

a b c (Å): 3.2076 4.1253 5.2070
angles (deg): 113.34 107.94 90.00
Last column: nearest neighbours and their distance in Å.
Sites, in units of the cell vectors:
Hg  0.6634  0.6634  0.3267  7 Hg 2.94-3.21, 5 Ag 3.00-3.03
Hg  0.3366  0.3366  0.6733  7 Hg 2.94-3.21, 5 Ag 3.00-3.03
Ag  0.0000  0.0000  0.0000  10 Hg 3.00-3.03, 2 Ag 3.21



Material: YSc2
Method: DFT, meta-GGA SCAN
State: PBEsol geometry

Values from the calculation:
Volume, Å³/cell: 76.79
Distance to the lowest polymorph of the same formula, meV/atom: 56
Energy of formation, eV/atom: 0.1020
Spin magnetization, μB per formula unit: 0.183
Theoretical density, g cm⁻³: 3.9

a b c (Å): 3.3203 3.3203 8.0429
angles (deg): 90.00 90.00 120.00
Last column: nearest neighbours and their distance in Å.
Sites, in units of the cell vectors:
Sc  0.3333  0.6667  0.6577  9 Sc 3.18-3.32, 3 Y 3.35
Sc  0.6667  0.3333  0.3423  9 Sc 3.18-3.32, 3 Y 3.35
Y  0.0000  0.0000  0.0000  6 Y 3.32, 6 Sc 3.35



Material: YPI2O
Method: DFT, meta-GGA SCAN
State: PBEsol geometry

Values from the calculation:
Volume, Å³/cell: 149.87
Distance to the lowest polymorph of the same formula, meV/atom: 0
Formation energy from raw total energies, eV/atom: -0.73
Spin magnetization, μB per formula unit: 2.369
Theoretical density, g cm⁻³: 4.3

a b c (Å): 4.0857 6.0565 6.0565
angles (deg): 90.00 90.00 90.00
Last column: nearest neighbours and their distance in Å.
Sites, in units of the cell vectors:
I  0.0000  0.0000  0.5000  2 Y 3.03
I  0.0000  0.5000  0.0000  2 Y 3.03
O  0.5000  0.0000  0.0000  2 Y 2.04
P  0.5000  0.5000  0.5000  8 I 3.65, 2 P 4.09
Y  0.0000  0.0000  0.0000  2 O 2.04



Material: NaInI4
Method: DFT, meta-GGA SCAN
State: PBEsol geometry

Values from the calculation:
Volume, Å³/cell: 982.49
Formation energy from raw total energies, eV/atom: -0.84
Spin magnetization, μB per formula unit: 0.000
Theoretical density, g cm⁻³: 4.4

a b c (Å): 7.5464 8.4874 15.3576
angles (deg): 92.78 90.00 90.00
Last column: nearest neighbours and their distance in Å.
Sites, in units of the cell vectors:
I  0.3330  0.6698  0.5619  1 In 2.71
I  0.1404  0.9461  0.8220  1 In 2.76
I  0.7878  0.5627  0.7058  1 In 2.71
I  0.6404  0.0539  0.6780  1 In 2.76
I  0.8596  0.0539  0.1780  1 In 2.76
I  0.1480  0.1886  0.5732  1 In 2.76
I  0.2122  0.4373  0.2942  1 In 2.71
I  0.1670  0.6698  0.0619  1 In 2.71
I  0.6670  0.3302  0.4381  1 In 2.71
I  0.3596  0.9461  0.3220  1 In 2.76
I  0.2878  0.4373  0.7942  1 In 2.71
I  0.8330  0.3302  0.9381  1 In 2.71
I  0.7122  0.5627  0.2058  1 In 2.71
I  0.8520  0.8114  0.4268  1 In 2.76
I  0.3520  0.1886  0.0732  1 In 2.76
I  0.6480  0.8114  0.9268  1 In 2.76
Na  0.9934  0.8506  0.6283  6 I 3.13-3.27
Na  0.0066  0.1494  0.3717  6 I 3.13-3.27
Na  0.4934  0.1494  0.8717  6 I 3.13-3.27
Na  0.5066  0.8506  0.1283  6 I 3.13-3.27
In  0.8072  0.2990  0.5990  4 I 2.71-2.76
In  0.3072  0.7010  0.9010  4 I 2.71-2.76
In  0.1928  0.7010  0.4010  4 I 2.71-2.76
In  0.6928  0.2990  0.0990  4 I 2.71-2.76



Question: Which of these has the lowest volume?
Answer: AgHg2